Entry 1:
A geometry-optimized ReSb2Ru structure. Source: the Alexandria database, functional PBE.

a = 4.7303 Å, b = 4.7303 Å, c = 4.7303 Å
α = 60.00°, β = 60.00°, γ = 60.00°
With the nearest neighbours (Å) after each atom.
Fractional positions:
Sb 0.0000 0.0000 0.0000  4 Ru 2.90, 4 Sb 2.90
Sb 0.2500 0.2500 0.2500  4 Sb 2.90, 4 Re 2.90
Re 0.5000 0.5000 0.5000  4 Sb 2.90, 4 Ru 2.90
Ru 0.7500 0.7500 0.7500  4 Re 2.90, 4 Sb 2.90

Calculated values
**Total energy**: -6.60 eV per atom
**Energy relative to the elements, uncorrected**: 894 meV per atom
**DOS(E_F)**: 1.855 states/eV per atom
**ΔE to the lowest computed polymorph**: 269 kJ/mol of formula units
**Space group**: F-43m

---

Entry 2:
A geometry-optimized Re2SbRu structure. Source: the Alexandria database, functional PBE.

a = 8.9508 Å, b = 8.9508 Å, c = 8.9508 Å
α = 18.74°, β = 18.74°, γ = 18.74°
With the nearest neighbours (Å) after each atom.
Fractional positions:
Re 0.5032 0.5032 0.5032  3 Ru 2.70, 3 Sb 2.84, 6 Re 2.92
Re 0.9968 0.9968 0.9968  3 Ru 2.70, 3 Sb 2.84, 6 Re 2.92
Ru 0.2500 0.2500 0.2500  6 Re 2.70, 6 Ru 2.92
Sb 0.7500 0.7500 0.7500  6 Re 2.84, 6 Sb 2.92

Calculated values
**Total energy**: -9.06 eV per atom
**Energy relative to the elements, uncorrected**: 516 meV per atom
**DOS(E_F)**: 0.920 states/eV per atom
**Space group**: R-3m

---

Entry 3:
A geometry-optimized ReSb2Ru structure. Source: the Alexandria database, functional PBE.

a = 4.6343 Å, b = 4.6343 Å, c = 4.6343 Å
α = 60.00°, β = 60.00°, γ = 60.00°
With the nearest neighbours (Å) after each atom.
Fractional positions:
Sb 0.7500 0.7500 0.7500  4 Re 2.84, 4 Ru 2.84
Sb 0.2500 0.2500 0.2500  4 Re 2.84, 4 Ru 2.84
Re 0.5000 0.5000 0.5000  8 Sb 2.84
Ru 0.0000 0.0000 0.0000  8 Sb 2.84

Calculated values
**Total energy**: -7.15 eV per atom
**Energy relative to the elements, uncorrected**: 346 meV per atom
**DOS(E_F)**: 0.603 states/eV per atom
**ΔE to the lowest computed polymorph**: 57 kJ/mol of formula units
**Space group**: Fm-3m